# In4Bi3H4, relaxed, DFT PBE
data_In4Bi3H4
_space_group_name_H-M_alt 'P 1'
_space_group_IT_number 1
_cell_length_a 6.6453
_cell_length_b 6.7807
_cell_length_c 6.9736
_cell_angle_alpha 96.49
_cell_angle_beta 110.65
_cell_angle_gamma 117.13
loop_
_space_group_symop_operation_xyz
'x,y,z'
loop_
_atom_site_label
_atom_site_fract_x
_atom_site_fract_y
_atom_site_fract_z
_atom_site_occupancy
In1 0.0563 0.0832 0.2657 1
In2 0.3003 0.6790 0.2577 1
In3 0.6997 0.3210 0.7423 1
In4 0.9437 0.9168 0.7343 1
Bi1 0.1670 0.4500 0.6880 1
Bi2 0.5000 0.0000 0.0000 1
Bi3 0.8330 0.5500 0.3120 1
H1 0.2556 0.3750 0.1998 1
H2 0.4023 0.1504 0.4715 1
H3 0.5977 0.8496 0.5285 1
H4 0.7444 0.6250 0.8002 1
# energy	-3.058	eV per atom
# magnetization	0.0	μB/f.u.
# space-group type	P-1